# 1
## Ba3CdAg6Hg2 (GGA-PBE)

Data for a geometry-optimized Ba3CdAg6Hg2 structure.

a = 6.6605 Å, b = 6.6605 Å, c = 9.1597 Å
α = 90.00°, β = 90.00°, γ = 120.00°
Space group P-3m1 (No. 164)
Asymmetric unit:
Ba1 0.0000 0.0000 0.0000 x1
Ba2 0.3333 0.6667 0.6266 x2
Cd1 0.0000 0.0000 0.5000 x1
Ag1 0.1881 0.3761 0.2898 x6
Hg1 0.3333 0.6667 0.0140 x2

Results
**E_form**: -168 meV/atom

---

# 2
## Y2H2W (GGA-PBE)

Data for a geometry-optimized Y2H2W structure.

a = 3.2932 Å, b = 3.2932 Å, c = 14.5619 Å
α = 90.00°, β = 90.00°, γ = 90.00°
Space group I4/mmm (No. 139)
Asymmetric unit:
Y1 0.0000 0.0000 0.1469 x4
H1 0.0000 0.5000 0.2500 x4
W1 0.0000 0.0000 0.5000 x2

Results
**Uncorrected energy**: -6.51 eV per atom

---

# 3
## Tl2ZnAsF6 (GGA-PBE)

Data for a geometry-optimized Tl2ZnAsF6 structure.

a = 8.3452 Å, b = 8.3448 Å, c = 6.5864 Å
α = 90.00°, β = 129.13°, γ = 90.00°
Space group C2/m (No. 12)
Asymmetric unit:
Tl1 0.0000 0.2498 0.0000 x4
Zn1 0.0000 0.0000 0.5000 x2
As1 0.0000 0.5000 0.5000 x2
F1 0.0000 0.2542 0.5000 x4
F2 0.1920 0.0000 0.8849 x4
F3 0.2463 0.5000 0.5010 x4

Results
**Uncorrected formation energy**: -1.845 eV/atom

---

# 4
## Li2AcCd2Sn2 (GGA-PBE)

Data for a geometry-optimized Li2AcCd2Sn2 structure.

a = 4.7851 Å, b = 4.7851 Å, c = 26.2657 Å
α = 90.00°, β = 90.00°, γ = 120.00°
Space group R-3m (No. 166, hexagonal axes)
Asymmetric unit:
Li1 0.0000 0.0000 0.1440 x6
Ac1 0.0000 0.0000 0.0000 x3
Cd1 0.0000 0.0000 0.4429 x6
Sn1 0.0000 0.0000 0.2567 x6

Results
**E_form**: -462 meV/atom